DFT (PBE) results for NdSiPt2 after structural relaxation.

## Properties
Total moment in μB/f.u.: 0.00
Total DFT energy (no corrections) in eV per atom: -6.659
E_form (uncorrected) in eV/atom: -1.091
Crystal system: orthorhombic

a = 7.5422 Å, b = 6.9644 Å, c = 5.6977 Å
α = 90.00°, β = 90.00°, γ = 90.00°
Space group Pnma (No. 62)
Inequivalent atoms, fractional coordinates:
1 Nd 0.0265 0.2500 0.1377
2 Si 0.1250 0.7500 0.3605
3 Pt 0.1767 0.0520 0.5911